Computed, not measured: a relaxed Ba2SrLiCl6 crystal at the PBE level of DFT.

Output
formation energy (no corrections) = -21.36 eV per formula unit
DOS at the Fermi energy = 0.143 states/eV/atom
calculated density = 3.07 g cm⁻³
energy = -3.988 eV per atom
size of the total moment = 0.10 μB/atom

CIF file:
```
data_Ba2SrLiCl6
_cell_length_a 7.061
_cell_length_b 7.384
_cell_length_c 7.781
_cell_angle_alpha 97.78
_cell_angle_beta 112.85
_cell_angle_gamma 115.50
_symmetry_space_group_name_H-M 'P 1'
_symmetry_Int_Tables_number 1
loop_
_symmetry_equiv_pos_as_xyz
'x,y,z'
loop_
_atom_site_label
_atom_site_fract_x
_atom_site_fract_y
_atom_site_fract_z
Ba1 0.000 0.000 0.000
Ba2 0.097 0.541 0.551
Sr1 0.639 0.899 0.355
Li1 0.565 0.313 0.884
Cl1 0.115 0.691 0.194
Cl2 0.148 0.006 0.654
Cl3 0.510 0.626 0.975
Cl4 0.560 0.215 0.179
Cl5 0.584 0.612 0.572
Cl6 0.779 0.220 0.726
```